# 1
# LiDyBeIn (PBE-GGA, optimized geometry)
data_LiDyBeIn
_chemical_formula_sum 'Li4 Dy4 Be4 In4'
_space_group_name_H-M_alt 'F -4 3 m'
_space_group_IT_number 216
_space_group_name_Hall 'F -4 2 3'
_cell_length_a 6.596
_cell_length_b 6.596
_cell_length_c 6.596
_cell_angle_alpha 90.00
_cell_angle_beta 90.00
_cell_angle_gamma 90.00
loop_
_atom_site_label
_atom_site_fract_x
_atom_site_fract_y
_atom_site_fract_z
Li1 0.000 0.000 0.000
Dy1 0.250 0.250 0.250
Be1 0.000 0.000 0.500
In1 0.250 0.250 0.750
# - formation energy (eV/atom) = -0.14
# - calculated total energy (eV/atom) = -3.39
# - theoretical density (g cm⁻³) = 6.79

# 2
# Ni2Ru2Rh (PBE-GGA, optimized geometry)
data_Ni2Ru2Rh
_chemical_formula_sum 'Ni8 Ru8 Rh4'
_space_group_name_H-M_alt 'C 1 2/m 1'
_space_group_IT_number 12
_cell_length_a 8.316
_cell_length_b 3.689
_cell_length_c 8.364
_cell_angle_alpha 90.00
_cell_angle_beta 91.10
_cell_angle_gamma 90.00
loop_
_space_group_symop_operation_xyz
'x,y,z'
'-x,-y,-z'
'-x,y,-z'
'x,-y,z'
'x+1/2,y+1/2,z'
'-x+1/2,-y+1/2,-z'
'-x+1/2,y+1/2,-z'
'x+1/2,-y+1/2,z'
loop_
_atom_site_label
_atom_site_fract_x
_atom_site_fract_y
_atom_site_fract_z
Ni1 0.048 0.000 0.347
Ni2 0.147 0.000 0.047
Ru1 0.050 0.500 0.854
Ru2 0.149 0.500 0.546
Rh1 0.249 0.500 0.245
# - formation energy (eV/atom) = 0.06
# - calculated total energy (eV/atom) = -7.43
# - theoretical density (g cm⁻³) = 10.94
# - energy relative to the lowest polymorph listed for this composition (meV/atom) = 0.0

# 3
# YMnTc2 (PBE-GGA, optimized geometry)
data_YMnTc2
_chemical_formula_sum 'Y1 Mn1 Tc2'
_space_group_name_H-M_alt 'P 4 m m'
_space_group_IT_number 99
_cell_length_a 3.109
_cell_length_b 3.109
_cell_length_c 7.387
_cell_angle_alpha 90.00
_cell_angle_beta 90.00
_cell_angle_gamma 90.00
loop_
_space_group_symop_operation_xyz
'x,y,z'
'-y,x,z'
'-x,-y,z'
'y,-x,z'
'-x,y,z'
'y,x,z'
'x,-y,z'
'-y,-x,z'
loop_
_atom_site_label
_atom_site_fract_x
_atom_site_fract_y
_atom_site_fract_z
Y1 0.000 0.000 0.000
Mn1 0.500 0.500 0.309
Tc1 0.000 0.000 0.519
Tc2 0.500 0.500 0.707
# - formation energy (eV/atom) = 0.16
# - calculated total energy (eV/atom) = -8.93
# - theoretical density (g cm⁻³) = 7.90
# - energy relative to the lowest polymorph listed for this composition (meV/atom) = 0.0

# 4
# LiScZnAg2 (PBE-GGA, optimized geometry)
data_LiScZnAg2
_chemical_formula_sum 'Li1 Sc1 Zn1 Ag2'
_space_group_name_H-M_alt 'P 4/m m m'
_space_group_IT_number 123
_space_group_name_Hall '-P 4 2'
_cell_length_a 4.487
_cell_length_b 4.487
_cell_length_c 4.924
_cell_angle_alpha 90.00
_cell_angle_beta 90.00
_cell_angle_gamma 90.00
loop_
_atom_site_label
_atom_site_fract_x
_atom_site_fract_y
_atom_site_fract_z
Li1 0.000 0.000 0.000
Sc1 0.000 0.000 0.500
Zn1 0.500 0.500 0.500
Ag1 0.000 0.500 0.000
# - formation energy (eV/atom) = 0.44
# - calculated total energy (eV/atom) = -2.61
# - theoretical density (g cm⁻³) = 5.58

# 5
# Pr6HfSn10 (PBE-GGA, optimized geometry)
data_Pr6HfSn10
_chemical_formula_sum 'Pr6 Hf1 Sn10'
_space_group_name_H-M_alt 'P -3 1 m'
_space_group_IT_number 162
_space_group_name_Hall '-P 3 2'
_cell_length_a 9.4638
_cell_length_b 9.4638
_cell_length_c 6.3287
_cell_angle_alpha 90.00
_cell_angle_beta 90.00
_cell_angle_gamma 120.00
loop_
_atom_site_label
_atom_site_fract_x
_atom_site_fract_y
_atom_site_fract_z
Pr1 0.0000 0.3882 0.2611
Hf1 0.0000 0.0000 0.5000
Sn1 0.0000 0.2343 0.8004
Sn2 0.3333 0.6667 0.0000
Sn3 0.3333 0.6667 0.5000
# - formation energy (eV/atom) = -0.54
# - calculated total energy (eV/atom) = -5.17
# - theoretical density (g cm⁻³) = 7.48

# 6
# ZnAs2HBr (PBE-GGA, optimized geometry)
data_ZnAs2HBr
_chemical_formula_sum 'Zn1 As2 H1 Br1'
_space_group_name_H-M_alt 'P 4/m m m'
_space_group_IT_number 123
_space_group_name_Hall '-P 4 2'
_cell_length_a 4.873
_cell_length_b 4.873
_cell_length_c 5.504
_cell_angle_alpha 90.00
_cell_angle_beta 90.00
_cell_angle_gamma 90.00
loop_
_atom_site_label
_atom_site_fract_x
_atom_site_fract_y
_atom_site_fract_z
Zn1 0.000 0.000 0.000
As1 0.000 0.500 0.000
H1 0.500 0.500 0.500
Br1 0.000 0.000 0.500
# - calculated total energy (eV/atom) = -2.17
# - theoretical density (g cm⁻³) = 3.76
# - energy relative to the lowest polymorph listed for this composition (meV/atom) = 522.2

# 7
# SrLa4Co (PBE-GGA, optimized geometry)
data_SrLa4Co
_chemical_formula_sum 'Sr4 La16 Co4'
_space_group_name_H-M_alt 'F -4 3 m'
_space_group_IT_number 216
_space_group_name_Hall 'F -4 2 3'
_cell_length_a 9.432
_cell_length_b 9.432
_cell_length_c 9.432
_cell_angle_alpha 90.00
_cell_angle_beta 90.00
_cell_angle_gamma 90.00
loop_
_atom_site_label
_atom_site_fract_x
_atom_site_fract_y
_atom_site_fract_z
Sr1 0.000 0.000 0.000
La1 0.122 0.122 0.378
Co1 0.250 0.250 0.750
# - formation energy (eV/atom) = 0.68
# - calculated total energy (eV/atom) = -4.07
# - theoretical density (g cm⁻³) = 5.56
# - energy relative to the lowest polymorph listed for this composition (meV/atom) = 669.6

# 8
# VCuGeRu (PBE-GGA, optimized geometry)
data_VCuGeRu
_chemical_formula_sum 'V4 Cu4 Ge4 Ru4'
_space_group_name_H-M_alt 'F -4 3 m'
_space_group_IT_number 216
_space_group_name_Hall 'F -4 2 3'
_cell_length_a 5.999
_cell_length_b 5.999
_cell_length_c 5.999
_cell_angle_alpha 90.00
_cell_angle_beta 90.00
_cell_angle_gamma 90.00
loop_
_atom_site_label
_atom_site_fract_x
_atom_site_fract_y
_atom_site_fract_z
V1 0.000 0.000 0.000
Cu1 0.250 0.250 0.250
Ge1 0.000 0.000 0.500
Ru1 0.250 0.250 0.750
# - formation energy (eV/atom) = -0.10
# - calculated total energy (eV/atom) = -6.88
# - theoretical density (g cm⁻³) = 8.87

# 9
# GdTmBeCo (PBE-GGA, optimized geometry)
data_GdTmBeCo
_chemical_formula_sum 'Gd4 Tm4 Be4 Co4'
_space_group_name_H-M_alt 'F -4 3 m'
_space_group_IT_number 216
_space_group_name_Hall 'F -4 2 3'
_cell_length_a 6.717
_cell_length_b 6.717
_cell_length_c 6.717
_cell_angle_alpha 90.00
_cell_angle_beta 90.00
_cell_angle_gamma 90.00
loop_
_atom_site_label
_atom_site_fract_x
_atom_site_fract_y
_atom_site_fract_z
Gd1 0.000 0.000 0.000
Tm1 0.000 0.000 0.500
Be1 0.250 0.250 0.250
Co1 0.250 0.250 0.750
# - formation energy (eV/atom) = -0.03
# - calculated total energy (eV/atom) = -7.38
# - theoretical density (g cm⁻³) = 8.64

# 10
# MgCo2Bi (PBE-GGA, optimized geometry)
data_MgCo2Bi
_chemical_formula_sum 'Mg4 Co8 Bi4'
_space_group_name_H-M_alt 'I -4 2 d'
_space_group_IT_number 122
_space_group_name_Hall 'I -4 2bw'
_cell_length_a 7.197
_cell_length_b 7.197
_cell_length_c 5.575
_cell_angle_alpha 90.00
_cell_angle_beta 90.00
_cell_angle_gamma 90.00
loop_
_atom_site_label
_atom_site_fract_x
_atom_site_fract_y
_atom_site_fract_z
Mg1 0.000 0.000 0.000
Co1 0.250 0.250 0.125
Bi1 0.000 0.000 0.500
# - formation energy (eV/atom) = 0.67
# - calculated total energy (eV/atom) = -4.25
# - theoretical density (g cm⁻³) = 8.08
# - energy relative to the lowest polymorph listed for this composition (meV/atom) = 450.0

# 11
# YAgIr (PBE-GGA, optimized geometry)
data_YAgIr
_chemical_formula_sum 'Y2 Ag2 Ir2'
_space_group_name_H-M_alt 'I 4 m m'
_space_group_IT_number 107
_space_group_name_Hall 'I 4 -2'
_cell_length_a 3.570
_cell_length_b 3.570
_cell_length_c 9.394
_cell_angle_alpha 90.00
_cell_angle_beta 90.00
_cell_angle_gamma 90.00
loop_
_atom_site_label
_atom_site_fract_x
_atom_site_fract_y
_atom_site_fract_z
Y1 0.000 0.000 0.000
Ag1 0.000 0.000 0.315
Ir1 0.000 0.000 0.654
# - formation energy (eV/atom) = -0.26
# - calculated total energy (eV/atom) = -6.32
# - theoretical density (g cm⁻³) = 10.79
# - energy relative to the lowest polymorph listed for this composition (meV/atom) = 0.0

# 12
# SrPaIr2 (PBE-GGA, optimized geometry)
data_SrPaIr2
_chemical_formula_sum 'Sr1 Pa1 Ir2'
_space_group_name_H-M_alt 'P 4/m m m'
_space_group_IT_number 123
_space_group_name_Hall '-P 4 2'
_cell_length_a 3.505
_cell_length_b 3.505
_cell_length_c 7.500
_cell_angle_alpha 90.00
_cell_angle_beta 90.00
_cell_angle_gamma 90.00
loop_
_atom_site_label
_atom_site_fract_x
_atom_site_fract_y
_atom_site_fract_z
Sr1 0.000 0.000 0.000
Pa1 0.000 0.000 0.500
Ir1 0.500 0.500 0.305
# - formation energy (eV/atom) = -0.60
# - calculated total energy (eV/atom) = -7.83
# - theoretical density (g cm⁻³) = 12.67
# - energy relative to the lowest polymorph listed for this composition (meV/atom) = 0.0